[1]
VASP calculation (GGA-PBE) on a relaxed Mg2Zr3Cd7 crystal.

ΔE_f = -0.013 eV per atom
DOS(E_F) = 6.4 states/eV per cell
raw total energy = -2.950 eV per atom
magnetic moment = 0.00 Bohr magnetons per cell
calculated volume = 265.3 Å³ per cell

Cell: 3.023 6.001 15.319 Å, 72.71 90.00 90.00°
Fractional coordinates of all 12 atoms:
Mg1 0.500 0.628 0.329
Mg2 0.500 0.372 0.671
Zr1 0.500 0.500 0.000
Zr2 0.000 0.127 0.340
Zr3 0.000 0.873 0.660
Cd1 0.500 0.243 0.502
Cd2 0.500 0.757 0.498
Cd3 0.000 0.559 0.169
Cd4 0.000 0.000 0.000
Cd5 0.000 0.441 0.831
Cd6 0.500 0.937 0.831
Cd7 0.500 0.063 0.169



[2]
VASP calculation (GGA-PBE) on a relaxed MgZr3Cd crystal.

ΔE_f = 0.981 eV per atom
DOS(E_F) = 4.8 states/eV per cell
raw total energy = -4.650 eV per atom
magnetic moment = 0.00 Bohr magnetons per cell
calculated volume = 130.4 Å³ per cell

Cell: 5.071 5.071 5.071 Å, 90.00 90.00 90.00°
Fractional coordinates of all 5 atoms:
Mg1 0.000 0.000 0.000
Zr1 0.000 0.500 0.000
Zr2 0.000 0.000 0.500
Zr3 0.500 0.000 0.000
Cd1 0.500 0.500 0.500



[3]
VASP calculation (GGA-PBE) on a relaxed MgZrCd5 crystal.

ΔE_f = 0.040 eV per atom
DOS(E_F) = 5.1 states/eV per cell
raw total energy = -2.063 eV per atom
magnetic moment = 0.00 Bohr magnetons per cell
calculated volume = 166.5 Å³ per cell

Cell: 4.373 4.373 8.708 Å, 90.00 90.00 90.00°
Fractional coordinates of all 7 atoms:
Mg1 0.500 0.500 0.000
Zr1 0.000 0.000 0.500
Cd1 0.000 0.500 0.760
Cd2 0.000 0.500 0.240
Cd3 0.500 0.000 0.760
Cd4 0.500 0.000 0.240
Cd5 0.500 0.500 0.500



[4]
VASP calculation (GGA-PBE) on a relaxed MgZrCd crystal.

ΔE_f = 0.250 eV per atom
DOS(E_F) = 0.5 states/eV per cell
raw total energy = -3.436 eV per atom
magnetic moment = 0.00 Bohr magnetons per cell
calculated volume = 73.9 Å³ per cell

Cell: 4.709 4.709 4.709 Å, 60.00 60.00 60.00°
Fractional coordinates of all 3 atoms:
Cd1 0.750 0.750 0.750
Mg1 0.000 0.000 0.000
Zr1 0.500 0.500 0.500



[5]
VASP calculation (GGA-PBE) on a relaxed MgZr5Cd4 crystal.

ΔE_f = -0.063 eV per atom
DOS(E_F) = 12.9 states/eV per cell
raw total energy = -4.863 eV per atom
magnetic moment = 0.31 Bohr magnetons per cell
calculated volume = 218.1 Å³ per cell

Cell: 3.169 3.169 21.712 Å, 90.00 90.00 90.00°
Site moments in Bohr magnetons follow the coordinates.
Fractional coordinates of all 10 atoms:
Mg1 0.000 0.000 0.000  0.00
Zr1 0.500 0.500 0.102  -0.01
Zr2 0.500 0.500 0.301  0.06
Zr3 0.500 0.500 0.500  0.11
Zr4 0.500 0.500 0.699  0.06
Zr5 0.500 0.500 0.898  -0.01
Cd1 0.000 0.000 0.201  0.00
Cd2 0.000 0.000 0.400  0.00
Cd3 0.000 0.000 0.600  0.00
Cd4 0.000 0.000 0.799  0.00



[6]
VASP calculation (GGA-PBE) on a relaxed Mg4ZrCd crystal.

ΔE_f = -0.029 eV per atom
DOS(E_F) = 2.3 states/eV per cell
raw total energy = -2.669 eV per atom
magnetic moment = 0.00 Bohr magnetons per cell
calculated volume = 130.6 Å³ per cell

Cell: 3.385 3.385 11.399 Å, 90.00 90.00 90.00°
Fractional coordinates of all 6 atoms:
Mg1 0.500 0.500 0.838
Mg2 0.500 0.500 0.162
Mg3 0.000 0.000 0.669
Mg4 0.000 0.000 0.331
Zr1 0.500 0.500 0.500
Cd1 0.000 0.000 0.000



[7]
VASP calculation (GGA-PBE) on a relaxed Mg3ZrCd4 crystal.

ΔE_f = -0.114 eV per atom
DOS(E_F) = 6.2 states/eV per cell
raw total energy = -2.238 eV per atom
magnetic moment = 0.00 Bohr magnetons per cell
calculated volume = 340.9 Å³ per cell

Cell: 4.772 7.484 9.545 Å, 90.00 90.00 90.00°
Fractional coordinates of all 16 atoms:
Mg1 0.000 0.000 0.000
Mg2 0.000 0.000 0.500
Mg3 0.501 0.000 0.750
Mg4 0.499 0.000 0.250
Mg5 0.500 0.500 0.750
Mg6 0.500 0.500 0.250
Zr1 0.000 0.500 0.000
Zr2 0.000 0.500 0.500
Cd1 0.500 0.753 0.000
Cd2 0.500 0.753 0.500
Cd3 0.500 0.247 0.000
Cd4 0.500 0.247 0.500
Cd5 0.001 0.753 0.750
Cd6 0.999 0.753 0.250
Cd7 0.999 0.247 0.250
Cd8 0.001 0.247 0.750



[8]
VASP calculation (GGA-PBE) on a relaxed MgZrCd crystal.

ΔE_f = -0.087 eV per atom
DOS(E_F) = 2.6 states/eV per cell
raw total energy = -3.773 eV per atom
magnetic moment = 0.00 Bohr magnetons per cell
calculated volume = 65.1 Å³ per cell

Cell: 6.852 6.852 6.852 Å, 153.26 153.23 38.19°
Fractional coordinates of all 3 atoms:
Mg1 0.663 0.663 0.000
Zr1 0.335 0.335 0.000
Cd1 0.002 0.002 0.000



[9]
VASP calculation (GGA-PBE) on a relaxed Mg6ZrCd crystal.

ΔE_f = 0.010 eV per atom
DOS(E_F) = 5.7 states/eV per cell
raw total energy = -2.369 eV per atom
magnetic moment = 0.00 Bohr magnetons per cell
calculated volume = 177.9 Å³ per cell

Cell: 6.486 6.486 4.994 Å, 90.00 90.00 122.16°
Fractional coordinates of all 8 atoms:
Mg1 0.828 0.673 0.500
Mg2 0.327 0.172 0.500
Mg3 0.678 0.839 0.000
Mg4 0.161 0.322 0.000
Mg5 0.669 0.331 0.000
Mg6 0.178 0.822 0.000
Zr1 0.825 0.175 0.500
Cd1 0.335 0.665 0.500



[10]
VASP calculation (GGA-PBE) on a relaxed MgZr4Cd crystal.

ΔE_f = -0.063 eV per atom
DOS(E_F) = 5.5 states/eV per cell
raw total energy = -6.180 eV per atom
magnetic moment = 0.00 Bohr magnetons per cell
calculated volume = 136.9 Å³ per cell

Cell: 3.091 3.091 14.328 Å, 90.00 90.00 90.00°
Fractional coordinates of all 6 atoms:
Mg1 0.000 0.000 0.000
Zr1 0.500 0.500 0.175
Zr2 0.000 0.000 0.667
Zr3 0.000 0.000 0.333
Zr4 0.500 0.500 0.825
Cd1 0.500 0.500 0.500



[11]
VASP calculation (GGA-PBE) on a relaxed Mg2ZrCd2 crystal.

ΔE_f = 0.008 eV per atom
DOS(E_F) = 7.3 states/eV per cell
raw total energy = -2.706 eV per atom
magnetic moment = 0.00 Bohr magnetons per cell
calculated volume = 216.6 Å³ per cell

Cell: 8.361 8.361 3.099 Å, 90.00 90.00 90.00°
Fractional coordinates of all 10 atoms:
Mg1 0.170 0.670 0.500
Mg2 0.670 0.830 0.500
Mg3 0.830 0.330 0.500
Mg4 0.330 0.170 0.500
Zr1 0.000 0.000 0.000
Zr2 0.500 0.500 0.000
Cd1 0.370 0.870 0.000
Cd2 0.870 0.630 0.000
Cd3 0.630 0.130 0.000
Cd4 0.130 0.370 0.000



[12]
VASP calculation (GGA-PBE) on a relaxed Mg2ZrCd4 crystal.

ΔE_f = -0.041 eV per atom
DOS(E_F) = 3.8 states/eV per cell
raw total energy = -2.240 eV per atom
magnetic moment = 0.00 Bohr magnetons per cell
calculated volume = 156.8 Å³ per cell

Cell: 3.272 3.157 15.258 Å, 95.94 90.00 90.00°
Fractional coordinates of all 7 atoms:
Mg1 0.500 0.206 0.413
Mg2 0.500 0.794 0.587
Zr1 0.000 0.500 0.000
Cd1 0.500 0.930 0.860
Cd2 0.000 0.639 0.279
Cd3 0.500 0.070 0.140
Cd4 0.000 0.361 0.721